(1)
Compound: TlIn2Cl4
Source: Alexandria
Functional: PBE
Structure: optimized geometry

The structure in POSCAR format:
```
TlIn2Cl4
1.0
8.361 0.000 0.000
-2.330 8.093 0.000
-3.795 -3.464 7.223
Tl In Cl
2 4 8
Direct
0.222 0.412 0.132 Tl
0.778 0.588 0.868 Tl
0.000 0.000 0.500 In
0.000 0.500 0.500 In
0.500 0.000 0.000 In
0.500 0.000 0.500 In
0.057 0.701 0.260 Cl
0.121 0.862 0.835 Cl
0.469 0.762 0.728 Cl
0.474 0.214 0.837 Cl
0.526 0.786 0.163 Cl
0.531 0.238 0.272 Cl
0.879 0.138 0.165 Cl
0.943 0.299 0.740 Cl
```

**Raw formation energy**: -0.94 eV per atom
**Energy relative to the lowest polymorph listed for this composition**: 0.0000 eV per atom
**VASP energy**: -3.12 eV/atom
**Magnetic moment**: 0.00 μB/f.u.

(2)
Compound: TlInCl2
Source: Alexandria
Functional: PBE
Structure: optimized geometry

The structure in POSCAR format:
```
TlInCl2
1.0
3.866 -3.862 0.000
3.866 3.862 0.000
-0.020 0.000 3.861
Tl In Cl
1 1 2
Direct
0.000 0.000 0.000 Tl
0.500 0.500 0.000 In
0.000 0.500 0.500 Cl
0.500 0.000 0.500 Cl
```

**Raw formation energy**: -0.86 eV per atom
**Energy relative to the lowest polymorph listed for this composition**: 0.0460 eV per atom
**VASP energy**: -3.06 eV/atom
**Magnetic moment**: 0.00 μB/f.u.

(3)
Compound: Tl2InCl
Source: Alexandria
Functional: PBE
Structure: optimized geometry

The structure in POSCAR format:
```
Tl2InCl
1.0
-1.994 2.570 5.890
1.994 -2.570 5.890
1.994 2.570 -5.890
Tl In Cl
2 1 1
Direct
0.000 0.000 0.000 Tl
0.727 0.227 0.500 Tl
0.456 0.456 0.000 In
0.237 0.737 0.500 Cl
```

**Raw formation energy**: -0.31 eV per atom
**Energy relative to the lowest polymorph listed for this composition**: 0.0394 eV per atom
**VASP energy**: -2.64 eV/atom
**Magnetic moment**: 0.00 μB/f.u.

(4)
Compound: Tl4In3Cl8
Source: Alexandria
Functional: PBE
Structure: optimized geometry

The structure in POSCAR format:
```
Tl4In3Cl8
1.0
6.247 -6.351 0.000
6.247 6.351 0.000
-6.203 0.000 6.332
Tl In Cl
4 3 8
Direct
0.000 0.000 0.000 Tl
0.000 0.500 0.000 Tl
0.500 0.000 0.000 Tl
0.500 0.500 0.500 Tl
0.000 0.500 0.500 In
0.500 0.000 0.500 In
0.500 0.500 0.000 In
0.250 0.750 0.500 Cl
0.257 0.257 0.522 Cl
0.257 0.743 0.000 Cl
0.264 0.264 0.998 Cl
0.736 0.736 0.002 Cl
0.743 0.257 0.000 Cl
0.743 0.743 0.478 Cl
0.750 0.250 0.500 Cl
```

**Raw formation energy**: -0.88 eV per atom
**VASP energy**: -3.04 eV/atom
**Magnetic moment**: 0.00 μB/f.u.

(5)
Compound: TlIn2Cl
Source: Alexandria
Functional: PBE
Structure: optimized geometry

The structure in POSCAR format:
```
TlIn2Cl
1.0
6.011 -1.880 0.000
6.011 1.880 0.000
-0.219 0.000 5.162
Tl In Cl
1 2 1
Direct
0.000 0.000 0.000 Tl
0.269 0.269 0.746 In
0.731 0.731 0.254 In
0.500 0.500 0.500 Cl
```

**Raw formation energy**: -0.31 eV per atom
**Energy relative to the lowest polymorph listed for this composition**: 0.0405 eV per atom
**VASP energy**: -2.73 eV/atom
**Magnetic moment**: 0.00 μB/f.u.

(6)
Compound: TlInCl
Source: Alexandria
Functional: PBE
Structure: optimized geometry

The structure in POSCAR format:
```
TlInCl
1.0
3.139 -3.139 0.000
3.139 3.139 0.000
-0.374 0.000 9.552
Tl In Cl
2 2 2
Direct
0.249 0.249 0.454 Tl
0.751 0.751 0.546 Tl
0.242 0.242 0.814 In
0.758 0.758 0.186 In
0.257 0.257 0.114 Cl
0.743 0.743 0.886 Cl
```

**Raw formation energy**: -0.44 eV per atom
**Energy relative to the lowest polymorph listed for this composition**: 0.0415 eV per atom
**VASP energy**: -2.76 eV/atom
**Magnetic moment**: 0.00 μB/f.u.

(7)
Compound: Tl5InCl8
Source: Alexandria
Functional: PBE
Structure: optimized geometry

The structure in POSCAR format:
```
Tl5InCl8
1.0
-5.557 5.557 4.695
5.557 -5.557 4.695
5.557 5.557 -4.695
Tl In Cl
5 1 8
Direct
0.000 0.000 0.000 Tl
0.079 0.589 0.936 Tl
0.411 0.348 0.491 Tl
0.652 0.143 0.064 Tl
0.857 0.921 0.509 Tl
0.250 0.750 0.500 In
0.316 0.658 0.718 Cl
0.342 0.060 0.658 Cl
0.369 0.063 0.198 Cl
0.402 0.684 0.342 Cl
0.829 0.631 0.694 Cl
0.865 0.171 0.802 Cl
0.937 0.135 0.306 Cl
0.940 0.598 0.282 Cl
```

**Raw formation energy**: -1.00 eV per atom
**VASP energy**: -3.10 eV/atom
**Magnetic moment**: 0.00 μB/f.u.

(8)
Compound: Tl3In2Cl9
Source: Alexandria
Functional: PBE
Structure: optimized geometry

The structure in POSCAR format:
```
Tl3In2Cl9
1.0
7.270 0.000 0.000
-3.635 6.296 0.000
0.000 0.000 18.697
Tl In Cl
6 4 18
Direct
0.000 0.000 0.250 Tl
0.000 0.000 0.750 Tl
0.333 0.667 0.053 Tl
0.333 0.667 0.447 Tl
0.667 0.333 0.553 Tl
0.667 0.333 0.947 Tl
0.333 0.667 0.655 In
0.333 0.667 0.845 In
0.667 0.333 0.155 In
0.667 0.333 0.345 In
0.020 0.510 0.750 Cl
0.167 0.334 0.586 Cl
0.167 0.334 0.914 Cl
0.167 0.833 0.586 Cl
0.167 0.833 0.914 Cl
0.334 0.167 0.086 Cl
0.334 0.167 0.414 Cl
0.490 0.510 0.750 Cl
0.490 0.980 0.750 Cl
0.510 0.020 0.250 Cl
0.510 0.490 0.250 Cl
0.666 0.833 0.586 Cl
0.666 0.833 0.914 Cl
0.833 0.167 0.086 Cl
0.833 0.167 0.414 Cl
0.833 0.666 0.086 Cl
0.833 0.666 0.414 Cl
0.980 0.490 0.250 Cl
```

**Raw formation energy**: -1.08 eV per atom
**VASP energy**: -3.16 eV/atom
**Magnetic moment**: 0.00 μB/f.u.

(9)
Compound: Tl2In3Cl5
Source: Alexandria
Functional: PBE
Structure: optimized geometry

The structure in POSCAR format:
```
Tl2In3Cl5
1.0
7.607 -2.280 0.000
7.607 2.280 0.000
-5.541 0.000 9.761
Tl In Cl
2 3 5
Direct
0.100 0.100 0.399 Tl
0.900 0.900 0.601 Tl
0.301 0.301 0.199 In
0.500 0.500 0.000 In
0.699 0.699 0.801 In
0.101 0.101 0.902 Cl
0.300 0.300 0.703 Cl
0.500 0.500 0.500 Cl
0.700 0.700 0.297 Cl
0.899 0.899 0.098 Cl
```

**Raw formation energy**: -0.88 eV per atom
**VASP energy**: -3.10 eV/atom
**Magnetic moment**: 0.00 μB/f.u.

(10)
Compound: TlInCl2
Source: Alexandria
Functional: PBE
Structure: optimized geometry

The structure in POSCAR format:
```
TlInCl2
1.0
4.538 0.000 0.000
0.000 4.538 0.000
0.000 0.000 6.597
Tl In Cl
1 1 2
Direct
0.000 0.000 0.000 Tl
0.500 0.500 0.507 In
0.000 0.000 0.472 Cl
0.500 0.500 0.065 Cl
```

**Raw formation energy**: -0.91 eV per atom
**Energy relative to the lowest polymorph listed for this composition**: 0.0030 eV per atom
**VASP energy**: -3.11 eV/atom
**Magnetic moment**: 0.00 μB/f.u.

(11)
Compound: TlInCl2
Source: Alexandria
Functional: PBE
Structure: optimized geometry

The structure in POSCAR format:
```
TlInCl2
1.0
0.000 3.862 3.862
3.862 0.000 3.862
3.862 3.862 0.000
Tl In Cl
1 1 2
Direct
0.000 0.000 0.000 Tl
0.500 0.500 0.500 In
0.250 0.250 0.250 Cl
0.750 0.750 0.750 Cl
```

**Raw formation energy**: -0.86 eV per atom
**Energy relative to the lowest polymorph listed for this composition**: 0.0467 eV per atom
**VASP energy**: -3.06 eV/atom
**Magnetic moment**: 0.00 μB/f.u.

(12)
Compound: Tl2In2Cl
Source: Alexandria
Functional: PBE
Structure: optimized geometry

The structure in POSCAR format:
```
Tl2In2Cl
1.0
-2.127 2.127 8.893
2.127 -2.127 8.893
2.127 2.127 -8.893
Tl In Cl
2 2 1
Direct
0.087 0.087 0.000 Tl
0.913 0.913 0.000 Tl
0.250 0.750 0.500 In
0.750 0.250 0.500 In
0.500 0.500 0.000 Cl
```

**Raw formation energy**: -0.19 eV per atom
**Energy relative to the lowest polymorph listed for this composition**: 0.0028 eV per atom
**VASP energy**: -2.61 eV/atom
**Magnetic moment**: 0.00 μB/f.u.

What is the VASP energy in the eleventh record? -3.06 eV/atom

Which formula does entry 3 have? Tl2InCl

raw formation energy of number 3 (Tl2InCl)? -0.31 eV per atom